(1)
# Al2Pd5

An optimized crystal structure of Al2Pd5 (PBE-GGA, the Alexandria database).

a = 5.5489 Å, b = 6.2221 Å, c = 7.4238 Å
α = 114.78°, β = 111.95°, γ = 90.00°
Fractional positions:
1 Al 0.3765 0.6447 0.7529
2 Al 0.6235 0.3553 0.2471
3 Al 0.8765 0.1082 0.7529
4 Al 0.1235 0.8918 0.2471
5 Pd 0.0868 0.2471 0.1736
6 Pd 0.9132 0.7529 0.8264
7 Pd 0.5868 0.9266 0.1736
8 Pd 0.4132 0.0734 0.8264
9 Pd 0.4805 0.7305 0.4611
10 Pd 0.0195 0.2695 0.5389
11 Pd 0.5195 0.2695 0.5389
12 Pd 0.9805 0.7305 0.4611
13 Pd 0.7500 0.5000 0.0000
14 Pd 0.2500 0.5000 0.0000

- Distance to the lowest polymorph of the same formula: 0.0 kJ/mol of formula units
- SG: Ibam
- DOS(E_F): 1.96 states/eV/f.u.
- Calculated formation energy: -0.689 eV per atom

---

(2)
# FeTcAs2

An optimized crystal structure of FeTcAs2 (PBE-GGA, the Alexandria database).

a = 2.9066 Å, b = 2.9066 Å, c = 7.7742 Å
α = 90.00°, β = 90.00°, γ = 90.00°
Site moments in Bohr magnetons follow the coordinates.
Fractional positions:
1 As 0.0000 0.0000 0.9331  0.02
2 As 0.5000 0.5000 0.3332  -0.04
3 Fe 0.0000 0.0000 0.5134  1.49
4 Tc 0.5000 0.5000 0.7202  0.07

- Distance to the lowest polymorph of the same formula: 15.9 kJ/mol of formula units
- SG: P4mm
- DOS(E_F): 2.83 states/eV/f.u.
- Calculated formation energy: 0.010 eV per atom

---

(3)
# VReRhW

An optimized crystal structure of VReRhW (PBE-GGA, the Alexandria database).

a = 4.3855 Å, b = 4.3855 Å, c = 4.3855 Å
α = 60.00°, β = 60.00°, γ = 60.00°
Site moments in Bohr magnetons follow the coordinates.
Fractional positions:
1 Re 0.0000 0.0000 0.0000  -0.08
2 Rh 0.5000 0.5000 0.5000  0.45
3 W 0.2500 0.2500 0.2500  0.21
4 V 0.7500 0.7500 0.7500  0.95

- SG: F-43m
- DOS(E_F): 6.05 states/eV/f.u.
- Calculated formation energy: -0.011 eV per atom

---

(4)
# ScCo3Si3

An optimized crystal structure of ScCo3Si3 (PBE-GGA, the Alexandria database).

a = 6.1252 Å, b = 6.1252 Å, c = 6.1252 Å
α = 90.00°, β = 90.00°, γ = 90.00°
Fractional positions:
1 Sc 0.5000 0.5000 0.5000
2 Sc 0.0000 0.0000 0.0000
3 Si 0.0000 0.2500 0.5000
4 Si 0.0000 0.7500 0.5000
5 Si 0.5000 0.0000 0.7500
6 Si 0.7500 0.5000 0.0000
7 Si 0.5000 0.0000 0.2500
8 Si 0.2500 0.5000 0.0000
9 Co 0.2500 0.0000 0.5000
10 Co 0.0000 0.5000 0.2500
11 Co 0.5000 0.7500 0.0000
12 Co 0.7500 0.0000 0.5000
13 Co 0.0000 0.5000 0.7500
14 Co 0.5000 0.2500 0.0000

- SG: Pm-3n
- DOS(E_F): 7.82 states/eV/f.u.
- Energy relative to the elements, uncorrected: 0.00 eV per formula unit